LiMgGaN2 | PBE-GGA | relaxed

Results
raw total energy: -17.54 eV/cell
space group: P4/mmm
ΔE_f (raw): 1.128 eV per atom

Cell lengths 3.8728, 3.8728, 3.9973 Å; angles 90.00, 90.00, 90.00 degrees
Atoms (fractional coordinates):
Li 0.0000 0.0000 0.0000
Mg 0.5000 0.5000 0.5000
Ga 0.0000 0.0000 0.5000
N 0.0000 0.5000 0.0000
N 0.5000 0.0000 0.0000